No. 1
Below is a geometry-optimized TaNb3Cl9 structure, with properties calculated at the PBE level.

a = 9.2831 Å, b = 9.2831 Å, c = 12.5509 Å
α = 114.61°, β = 114.61°, γ = 55.19°
With the nearest neighbours (Å) after each atom.
Atoms (fractional coordinates):
1 Ta 0.1447 0.8553 0.5000  6 Cl 2.41-2.55
2 Ta 0.8553 0.1447 0.0000  6 Cl 2.41-2.55
3 Nb 0.1874 0.7809 0.2695  5 Cl 2.54-2.74, 2 Nb 2.55-2.67, 1 Ta 2.83
4 Nb 0.1883 0.4650 0.1916  3 Cl 2.29-2.53, 1 Nb 2.56
5 Nb 0.4650 0.1883 0.6916  3 Cl 2.29-2.53, 1 Nb 2.56
6 Nb 0.4795 0.4824 0.2541  4 Cl 2.49-2.52, 2 Nb 2.55-2.56
7 Nb 0.4824 0.4795 0.7541  4 Cl 2.49-2.52, 2 Nb 2.55-2.56
8 Nb 0.7809 0.1874 0.7695  5 Cl 2.54-2.74, 2 Nb 2.55-2.67, 1 Ta 2.83
9 Cl 0.0118 0.2740 0.1846  1 Ta 2.41
10 Cl 0.1086 0.9955 0.9108  1 Ta 2.43
11 Cl 0.1246 0.3917 0.9847  1 Nb 2.29
12 Cl 0.2602 0.4665 0.8067  2 Nb 2.44-2.49
13 Cl 0.2661 0.5794 0.5640  1 Ta 2.48, 1 Nb 2.51
14 Cl 0.2740 0.0118 0.6846  1 Ta 2.41
15 Cl 0.3917 0.1246 0.4847  1 Nb 2.29
16 Cl 0.4349 0.7414 0.2041  2 Nb 2.50-2.54
17 Cl 0.4524 0.7014 0.4578  2 Nb 2.52-2.59, 1 Ta 2.54
18 Cl 0.4665 0.2602 0.3067  2 Nb 2.44-2.49
19 Cl 0.5794 0.2661 0.0640  1 Ta 2.48, 1 Nb 2.51
20 Cl 0.7014 0.4524 0.9578  2 Nb 2.52-2.59, 1 Ta 2.54
21 Cl 0.7336 0.9592 0.8089  2 Nb 2.53-2.65, 1 Ta 2.55
22 Cl 0.7414 0.4349 0.7041  2 Nb 2.50-2.54
23 Cl 0.8732 0.9716 0.5739  1 Ta 2.53, 1 Nb 2.54
24 Cl 0.9592 0.7336 0.3089  2 Nb 2.53-2.65, 1 Ta 2.55
25 Cl 0.9716 0.8732 0.0739  1 Ta 2.53, 1 Nb 2.54
26 Cl 0.9955 0.1086 0.4108  1 Ta 2.43

Results
calculated total energy	-0.2011	Ha/atom
formation energy without anion corrections	-958	meV per atom
space group	Cc

No. 2
Below is a geometry-optimized AlS structure, with properties calculated at the PBE level.

a = 5.6186 Å, b = 5.6186 Å, c = 5.6186 Å
α = 90.00°, β = 90.00°, γ = 90.00°
With the nearest neighbours (Å) after each atom.
Atoms (fractional coordinates):
1 Al 0.0000 0.0000 0.0000  4 S 2.43
2 Al 0.0000 0.5000 0.5000  4 S 2.43
3 Al 0.5000 0.0000 0.5000  4 S 2.43
4 Al 0.5000 0.5000 0.0000  4 S 2.43
5 S 0.2500 0.2500 0.7500  4 Al 2.43
6 S 0.2500 0.7500 0.2500  4 Al 2.43
7 S 0.7500 0.2500 0.2500  4 Al 2.43
8 S 0.7500 0.7500 0.7500  4 Al 2.43

Results
calculated total energy	-0.1538	Ha/atom
formation energy without anion corrections	-251	meV per atom
space group	F-43m

No. 3
Below is a geometry-optimized BaMgNb2F structure, with properties calculated at the PBE level.

a = 5.9832 Å, b = 5.9832 Å, c = 3.6932 Å
α = 90.00°, β = 90.00°, γ = 90.00°
With the nearest neighbours (Å) after each atom.
Atoms (fractional coordinates):
1 Ba 0.0000 0.0000 0.0000  8 Nb 3.52, 2 Ba 3.69
2 Mg 0.5000 0.5000 0.5000  2 F 1.85
3 Nb 0.0000 0.5000 0.5000  2 Mg 2.99
4 Nb 0.5000 0.0000 0.5000  2 Mg 2.99
5 F 0.5000 0.5000 0.0000  2 Mg 1.85

Results
calculated total energy	-0.1615	Ha/atom
formation energy without anion corrections	710	meV per atom
space group	P4/mmm

No. 4
Below is a geometry-optimized Sc2Fe2Os structure, with properties calculated at the PBE level.

a = 6.1593 Å, b = 6.1593 Å, c = 4.1837 Å
α = 90.00°, β = 90.00°, γ = 90.00°
With the nearest neighbours (Å) after each atom.
Atoms (fractional coordinates):
1 Sc 0.1821 0.3179 0.0000  6 Fe 2.68-2.84
2 Sc 0.3179 0.8179 0.0000  6 Fe 2.68-2.84
3 Sc 0.6821 0.1821 0.0000  6 Fe 2.68-2.84
4 Sc 0.8179 0.6821 0.0000  6 Fe 2.68-2.84
5 Fe 0.1250 0.6250 0.5000  1 Fe 2.18, 2 Os 2.43
6 Fe 0.3750 0.1250 0.5000  1 Fe 2.18, 2 Os 2.43
7 Fe 0.6250 0.8750 0.5000  1 Fe 2.18, 2 Os 2.43
8 Fe 0.8750 0.3750 0.5000  1 Fe 2.18, 2 Os 2.43
9 Os 0.0000 0.0000 0.5000  4 Fe 2.43
10 Os 0.5000 0.5000 0.5000  4 Fe 2.43

Results
E_form	-13.2	kJ/mol of atoms
calculated total energy	-0.3050	Ha/atom
space group	P4/mbm

No. 5
Below is a geometry-optimized Cr4NiRh7 structure, with properties calculated at the PBE level.

a = 4.8957 Å, b = 4.9065 Å, c = 7.1373 Å
α = 89.57°, β = 75.78°, γ = 84.57°
With the nearest neighbours (Å) after each atom.
Atoms (fractional coordinates):
1 Cr 0.1391 0.3359 0.2691  2 Cr 2.44-2.73, 1 Ni 2.46, 7 Rh 2.51-2.71
2 Cr 0.3167 0.8335 0.7231  2 Cr 2.44-2.73, 7 Rh 2.53-2.68
3 Cr 0.6833 0.1665 0.2769  2 Cr 2.44-2.73, 7 Rh 2.53-2.68
4 Cr 0.8609 0.6641 0.7309  2 Cr 2.44-2.73, 1 Ni 2.46, 7 Rh 2.51-2.71
5 Ni 0.5000 0.5000 0.0000  4 Rh 2.45-2.60, 2 Cr 2.46
6 Rh 0.0076 0.2503 0.9399  4 Cr 2.59-2.68, 6 Rh 2.59-2.81, 1 Ni 2.60
7 Rh 0.2091 0.8448 0.3758  3 Cr 2.54-2.69, 4 Rh 2.59-2.78
8 Rh 0.2977 0.3396 0.5784  5 Cr 2.51-2.68, 4 Rh 2.59-2.68
9 Rh 0.5000 0.0000 0.0000  2 Ni 2.45, 4 Cr 2.53-2.71, 2 Rh 2.73
10 Rh 0.7023 0.6604 0.4216  5 Cr 2.51-2.68, 4 Rh 2.59-2.68
11 Rh 0.7909 0.1552 0.6242  3 Cr 2.54-2.69, 4 Rh 2.59-2.78
12 Rh 0.9924 0.7497 0.0601  4 Cr 2.59-2.68, 6 Rh 2.59-2.81, 1 Ni 2.60

Results
E_form	6.1	kJ/mol of atoms
calculated total energy	-0.2909	Ha/atom
space group	P-1
excess energy over the best structure of this formula in the dataset	0	meV/atom

No. 6
Below is a geometry-optimized NdDy4Ho structure, with properties calculated at the PBE level.

a = 6.5841 Å, b = 6.5841 Å, c = 6.5841 Å
α = 60.00°, β = 60.00°, γ = 60.00°
With the nearest neighbours (Å) after each atom.
Atoms (fractional coordinates):
1 Nd 0.0000 0.0000 0.0000  12 Dy 3.86, 4 Ho 4.03
2 Dy 0.3753 0.3753 0.3753  6 Dy 3.29-3.30
3 Dy 0.3753 0.3753 0.8742  6 Dy 3.29-3.30
4 Dy 0.3753 0.8742 0.3753  6 Dy 3.29-3.30
5 Dy 0.8742 0.3753 0.3753  6 Dy 3.29-3.30
6 Ho 0.7500 0.7500 0.7500  12 Dy 3.86, 4 Nd 4.03

Results
E_form	26.4	kJ/mol of atoms
calculated total energy	-0.1599	Ha/atom
space group	F-43m
excess energy over the best structure of this formula in the dataset	254	meV/atom

No. 7
Below is a geometry-optimized KS3O structure, with properties calculated at the PBE level.

a = 5.9564 Å, b = 5.9564 Å, c = 5.9564 Å
α = 90.00°, β = 90.00°, γ = 90.00°
With the nearest neighbours (Å) after each atom.
Atoms (fractional coordinates):
1 K 0.0000 0.0000 0.0000  6 S 2.98
2 S 0.0000 0.0000 0.5000  2 K 2.98
3 S 0.0000 0.5000 0.0000  2 K 2.98
4 S 0.5000 0.0000 0.0000  2 K 2.98
5 O 0.5000 0.5000 0.5000  12 S 4.21

Results
calculated total energy	-0.0762	Ha/atom
formation energy without anion corrections	1614	meV per atom
space group	Pm-3m
excess energy over the best structure of this formula in the dataset	1223	meV/atom

No. 8
Below is a geometry-optimized TiV2I structure, with properties calculated at the PBE level.

a = 6.3377 Å, b = 6.3377 Å, c = 6.3377 Å
α = 90.00°, β = 90.00°, γ = 90.00°
With the nearest neighbours (Å) after each atom.
Atoms (fractional coordinates):
1 Ti 0.0000 0.0000 0.0000  8 V 2.74
2 Ti 0.0000 0.5000 0.5000  8 V 2.74
3 Ti 0.5000 0.0000 0.5000  8 V 2.74
4 Ti 0.5000 0.5000 0.0000  8 V 2.74
5 V 0.2500 0.2500 0.2500  4 I 2.74, 4 Ti 2.74
6 V 0.2500 0.2500 0.7500  4 I 2.74, 4 Ti 2.74
7 V 0.2500 0.7500 0.2500  4 I 2.74, 4 Ti 2.74
8 V 0.2500 0.7500 0.7500  4 I 2.74, 4 Ti 2.74
9 V 0.7500 0.2500 0.2500  4 I 2.74, 4 Ti 2.74
10 V 0.7500 0.2500 0.7500  4 I 2.74, 4 Ti 2.74
11 V 0.7500 0.7500 0.2500  4 I 2.74, 4 Ti 2.74
12 V 0.7500 0.7500 0.7500  4 I 2.74, 4 Ti 2.74
13 I 0.0000 0.0000 0.5000  8 V 2.74
14 I 0.0000 0.5000 0.0000  8 V 2.74
15 I 0.5000 0.0000 0.0000  8 V 2.74
16 I 0.5000 0.5000 0.5000  8 V 2.74

Results
calculated total energy	-0.2325	Ha/atom
formation energy without anion corrections	595	meV per atom
space group	Fm-3m
excess energy over the best structure of this formula in the dataset	0	meV/atom

No. 9
Below is a geometry-optimized PtW3 structure, with properties calculated at the PBE level.

a = 2.7911 Å, b = 2.7911 Å, c = 28.7071 Å
α = 90.00°, β = 90.00°, γ = 120.00°
With the nearest neighbours (Å) after each atom.
Atoms (fractional coordinates):
1 Pt 0.0000 0.0000 0.0000  6 Pt 2.79, 6 W 2.83
2 Pt 0.3333 0.6667 0.6667  6 Pt 2.79, 6 W 2.83
3 Pt 0.6667 0.3333 0.3333  6 Pt 2.79, 6 W 2.83
4 W 0.0000 0.0000 0.2524  9 W 2.79-2.94, 3 Pt 2.83
5 W 0.0000 0.0000 0.5000  12 W 2.79-2.94
6 W 0.0000 0.0000 0.7476  9 W 2.79-2.94, 3 Pt 2.83
7 W 0.3333 0.6667 0.1667  12 W 2.79-2.94
8 W 0.3333 0.6667 0.4143  9 W 2.79-2.94, 3 Pt 2.83
9 W 0.3333 0.6667 0.9191  9 W 2.79-2.94, 3 Pt 2.83
10 W 0.6667 0.3333 0.0809  9 W 2.79-2.94, 3 Pt 2.83
11 W 0.6667 0.3333 0.5857  9 W 2.79-2.94, 3 Pt 2.83
12 W 0.6667 0.3333 0.8333  12 W 2.79-2.94

Results
E_form	17.5	kJ/mol of atoms
calculated total energy	-0.4058	Ha/atom
space group	R-3m

No. 10
Below is a geometry-optimized TaW2Cl structure, with properties calculated at the PBE level.

a = 3.1165 Å, b = 3.1165 Å, c = 7.3562 Å
α = 90.00°, β = 90.00°, γ = 90.00°
With the nearest neighbours (Å) after each atom.
Atoms (fractional coordinates):
1 Ta 0.0000 0.0000 0.0000  8 W 2.74
2 W 0.5000 0.5000 0.2213  4 Ta 2.74, 4 Cl 3.01
3 W 0.5000 0.5000 0.7787  4 Ta 2.74, 4 Cl 3.01
4 Cl 0.0000 0.0000 0.5000  8 W 3.01, 4 Cl 3.12

Results
calculated total energy	-0.3383	Ha/atom
formation energy without anion corrections	697	meV per atom
space group	P4/mmm
excess energy over the best structure of this formula in the dataset	461	meV/atom

No. 11
Below is a geometry-optimized TiAsIr3 structure, with properties calculated at the PBE level.

a = 4.6010 Å, b = 4.6010 Å, c = 4.6010 Å
α = 90.00°, β = 90.00°, γ = 90.00°
With the nearest neighbours (Å) after each atom.
Atoms (fractional coordinates):
1 Ti 0.0000 0.0000 0.0000  6 Ir 2.30
2 As 0.5000 0.5000 0.5000  12 Ir 3.25
3 Ir 0.0000 0.0000 0.5000  2 Ti 2.30
4 Ir 0.0000 0.5000 0.0000  2 Ti 2.30
5 Ir 0.5000 0.0000 0.0000  2 Ti 2.30

Results
E_form	118.0	kJ/mol of atoms
calculated total energy	-0.2426	Ha/atom
space group	Pm-3m
excess energy over the best structure of this formula in the dataset	377	meV/atom

No. 12
Below is a geometry-optimized LiBe structure, with properties calculated at the PBE level.

a = 4.3751 Å, b = 13.2436 Å, c = 2.4337 Å
α = 90.00°, β = 90.00°, γ = 90.00°
With the nearest neighbours (Å) after each atom.
Atoms (fractional coordinates):
1 Li 0.0000 0.0000 0.0000  2 Li 2.43, 4 Be 2.50
2 Li 0.0000 0.1932 0.5000  4 Li 2.43-2.65, 6 Be 2.62-2.63
3 Li 0.0000 0.8068 0.5000  4 Li 2.43-2.65, 6 Be 2.62-2.63
4 Li 0.5000 0.3068 0.5000  4 Li 2.43-2.65, 6 Be 2.62-2.63
5 Li 0.5000 0.5000 0.0000  2 Li 2.43, 4 Be 2.50
6 Li 0.5000 0.6932 0.5000  4 Li 2.43-2.65, 6 Be 2.62-2.63
7 Be 0.0000 0.3681 0.0000  2 Be 2.13
8 Be 0.0000 0.5000 0.5000  4 Be 2.13
9 Be 0.0000 0.6319 0.0000  2 Be 2.13
10 Be 0.5000 0.0000 0.5000  4 Be 2.13
11 Be 0.5000 0.1319 0.0000  2 Be 2.13
12 Be 0.5000 0.8681 0.0000  2 Be 2.13

Results
E_form	18.1	kJ/mol of atoms
calculated total energy	-0.0967	Ha/atom
space group	Cmmm
excess energy over the best structure of this formula in the dataset	59	meV/atom

Question: What is the calculated total energy in the eleventh record?
Answer: -0.2426 Ha/atom

What did the fifth record say?
Below is a geometry-optimized Cr4NiRh7 structure, with properties calculated at the PBE level.

a = 4.8957 Å, b = 4.9065 Å, c = 7.1373 Å
α = 89.57°, β = 75.78°, γ = 84.57°
With the nearest neighbours (Å) after each atom.
Atoms (fractional coordinates):
1 Cr 0.1391 0.3359 0.2691  2 Cr 2.44-2.73, 1 Ni 2.46, 7 Rh 2.51-2.71
2 Cr 0.3167 0.8335 0.7231  2 Cr 2.44-2.73, 7 Rh 2.53-2.68
3 Cr 0.6833 0.1665 0.2769  2 Cr 2.44-2.73, 7 Rh 2.53-2.68
4 Cr 0.8609 0.6641 0.7309  2 Cr 2.44-2.73, 1 Ni 2.46, 7 Rh 2.51-2.71
5 Ni 0.5000 0.5000 0.0000  4 Rh 2.45-2.60, 2 Cr 2.46
6 Rh 0.0076 0.2503 0.9399  4 Cr 2.59-2.68, 6 Rh 2.59-2.81, 1 Ni 2.60
7 Rh 0.2091 0.8448 0.3758  3 Cr 2.54-2.69, 4 Rh 2.59-2.78
8 Rh 0.2977 0.3396 0.5784  5 Cr 2.51-2.68, 4 Rh 2.59-2.68
9 Rh 0.5000 0.0000 0.0000  2 Ni 2.45, 4 Cr 2.53-2.71, 2 Rh 2.73
10 Rh 0.7023 0.6604 0.4216  5 Cr 2.51-2.68, 4 Rh 2.59-2.68
11 Rh 0.7909 0.1552 0.6242  3 Cr 2.54-2.69, 4 Rh 2.59-2.78
12 Rh 0.9924 0.7497 0.0601  4 Cr 2.59-2.68, 6 Rh 2.59-2.81, 1 Ni 2.60

Results
E_form	6.1	kJ/mol of atoms
calculated total energy	-0.2909	Ha/atom
space group	P-1
excess energy over the best structure of this formula in the dataset	0	meV/atom

Question: What is the calculated total energy in the third record?
Answer: -0.1615 Ha/atom

Question: Among the records above, which one has the highest calculated total energy?
Answer: KS3O